# Sr6N2OF3, optimized geometry, DFT PBE
# * density of states at the Fermi level: 0.119 states/eV per atom
# * uncorrected formation energy: -2129 meV per atom
# * total energy: -125.7 eV per cell
data_Sr6N2OF3
_chemical_formula_sum 'Sr12 N4 O2 F6'
_symmetry_space_group_name_H-M 'C 1 2/m 1'
_symmetry_Int_Tables_number 12
_symmetry_space_group_name_Hall '-C 2y'
_cell_length_a 6.456
_cell_length_b 11.671
_cell_length_c 6.562
_cell_angle_alpha 90.00
_cell_angle_beta 104.40
_cell_angle_gamma 90.00
loop_
_atom_site_label
_atom_site_type_symbol
_atom_site_fract_x
_atom_site_fract_y
_atom_site_fract_z
_atom_site_occupancy
Sr1 Sr 0.215 0.000 0.214 1
Sr2 Sr 0.222 0.332 0.226 1
N1 N 0.000 0.166 0.000 1
O1 O 0.000 0.500 0.000 1
F1 F 0.000 0.000 0.500 1
F2 F 0.000 0.274 0.500 1


# NpHgTe2, optimized geometry, DFT PBE
# * density of states at the Fermi level: 2.137 states/eV per atom
# * uncorrected formation energy: -397 meV per atom
# * energy relative to the lowest polymorph listed for this composition: 0 meV per atom
# * total energy: -21.1 eV per cell
data_NpHgTe2
_chemical_formula_sum 'Np1 Hg1 Te2'
_symmetry_space_group_name_H-M 'P 4/m m m'
_symmetry_Int_Tables_number 123
_symmetry_space_group_name_Hall '-P 4 2'
_cell_length_a 3.914
_cell_length_b 3.914
_cell_length_c 7.342
_cell_angle_alpha 90.00
_cell_angle_beta 90.00
_cell_angle_gamma 90.00
loop_
_atom_site_label
_atom_site_type_symbol
_atom_site_fract_x
_atom_site_fract_y
_atom_site_fract_z
_atom_site_occupancy
Np1 Np 0.000 0.000 0.000 1
Hg1 Hg 0.000 0.000 0.500 1
Te1 Te 0.500 0.500 0.223 1


# Sm4Dy3Sc, optimized geometry, DFT PBE
# * density of states at the Fermi level: 1.595 states/eV per atom
# * energy relative to the lowest polymorph listed for this composition: 61 meV per atom
# * total energy: -153.0 eV per cell
# * calculated formation energy: 0.09 eV/atom
data_Sm4Dy3Sc
_chemical_formula_sum 'Sm16 Dy12 Sc4'
_symmetry_space_group_name_H-M 'I 4/m c m'
_symmetry_Int_Tables_number 140
_symmetry_space_group_name_Hall '-I 4 2c'
_cell_length_a 8.752
_cell_length_b 8.752
_cell_length_c 13.122
_cell_angle_alpha 90.00
_cell_angle_beta 90.00
_cell_angle_gamma 90.00
loop_
_atom_site_label
_atom_site_type_symbol
_atom_site_fract_x
_atom_site_fract_y
_atom_site_fract_z
_atom_site_occupancy
Sm1 Sm 0.150 0.350 0.163 1
Dy1 Dy 0.000 0.000 0.250 1
Dy2 Dy 0.150 0.350 0.500 1
Sc1 Sc 0.000 0.000 0.000 1